(1)
This record from Alexandria via LeMat-Bulk describes KFeIr2 after structural relaxation. The functional is GGA-PBE.

Cell lengths 4.5713, 4.5713, 4.5713 Å; angles 120.05, 120.05, 89.91 degrees
Closest atoms and distances in Å follow each position.
Fractional coordinates of all 4 atoms:
Fe1 0.7500 0.2500 0.5000  4 K 2.80, 4 Ir 2.80
Ir1 0.0000 0.0000 0.0000  4 Ir 2.80, 4 Fe 2.80
Ir2 0.2500 0.7500 0.5000  4 K 2.80, 4 Ir 2.80
K1 0.5000 0.5000 0.0000  4 Fe 2.80, 4 Ir 2.80

DFT formation energy, meV/atom: 1139
Volume, Å³/cell: 67
Energy above the most stable polymorph in this dataset, eV/atom: 0.6987


(2)
This record from Alexandria via LeMat-Bulk describes CeZrCd4 after structural relaxation. The functional is GGA-PBE.

Cell lengths 9.2918, 9.2918, 5.0363 Å; angles 90.00, 90.00, 140.64 degrees
Closest atoms and distances in Å follow each position.
Fractional coordinates of all 12 atoms:
Ce1 0.3756 0.6244 0.2500  2 Zr 3.13, 12 Cd 3.31-3.33
Ce2 0.6244 0.3756 0.7500  2 Zr 3.13, 12 Cd 3.31-3.33
Zr1 0.8715 0.1285 0.2500  2 Ce 3.13, 12 Cd 3.27-3.34
Zr2 0.1285 0.8715 0.7500  2 Ce 3.13, 12 Cd 3.27-3.34
Cd1 0.2002 0.2831 0.7500  5 Cd 2.91-3.23
Cd2 0.0388 0.4548 0.7500  5 Cd 2.91-3.17
Cd3 0.2831 0.2002 0.2500  5 Cd 2.91-3.23
Cd4 0.4548 0.0388 0.2500  5 Cd 2.91-3.17
Cd5 0.7998 0.7169 0.2500  5 Cd 2.91-3.23
Cd6 0.7169 0.7998 0.7500  5 Cd 2.91-3.23
Cd7 0.9612 0.5452 0.2500  5 Cd 2.91-3.17
Cd8 0.5452 0.9612 0.7500  5 Cd 2.91-3.17

DFT formation energy, meV/atom: -140
Volume, Å³/cell: 276
Energy above the most stable polymorph in this dataset, eV/atom: 0.0000


(3)
This record from Alexandria via LeMat-Bulk describes YEr4Co4 after structural relaxation. The functional is GGA-PBE.

Cell lengths 5.5067, 8.3816, 8.3816 Å; angles 90.00, 90.00, 90.00 degrees
Closest atoms and distances in Å follow each position.
Fractional coordinates of all 18 atoms:
Y1 0.0000 0.0000 0.0000  4 Co 2.62
Y2 0.5000 0.5000 0.5000  4 Co 2.62
Er1 0.3822 0.3142 0.9223  4 Co 2.65-2.91
Er2 0.8822 0.5777 0.8142  4 Co 2.65-2.91
Er3 0.3822 0.6858 0.0777  4 Co 2.65-2.91
Er4 0.1178 0.1858 0.5777  4 Co 2.65-2.91
Er5 0.6178 0.9223 0.6858  4 Co 2.65-2.91
Er6 0.1178 0.8142 0.4223  4 Co 2.65-2.91
Er7 0.8822 0.4223 0.1858  4 Co 2.65-2.91
Er8 0.6178 0.0777 0.3142  4 Co 2.65-2.91
Co1 0.6328 0.7654 0.3609  1 Co 2.28
Co2 0.6328 0.2346 0.6391  1 Co 2.28
Co3 0.1328 0.8609 0.7346  1 Co 2.28
Co4 0.8672 0.2654 0.8609  1 Co 2.28
Co5 0.8672 0.7346 0.1391  1 Co 2.28
Co6 0.3672 0.3609 0.2346  1 Co 2.28
Co7 0.3672 0.6391 0.7654  1 Co 2.28
Co8 0.1328 0.1391 0.2654  1 Co 2.28

DFT formation energy, meV/atom: -75
Volume, Å³/cell: 387


(4)
This record from Alexandria via LeMat-Bulk describes Np2CO after structural relaxation. The functional is GGA-PBE.

Cell lengths 3.0240, 3.0240, 6.0938 Å; angles 90.00, 90.00, 90.00 degrees
Closest atoms and distances in Å follow each position.
Fractional coordinates of all 4 atoms:
Np1 0.0000 0.0000 0.7356  4 C 2.58, 4 O 2.68, 1 Np 2.87
Np2 0.0000 0.0000 0.2644  4 C 2.58, 4 O 2.68, 1 Np 2.87
C1 0.5000 0.5000 0.5000  8 Np 2.58
O1 0.5000 0.5000 0.0000  8 Np 2.68

Energy relative to the elements, uncorrected, eV per atom: -0.644
Volume, Å³/cell: 56
Energy above the most stable polymorph in this dataset, eV/atom: 0.4696


(5)
This record from Alexandria via LeMat-Bulk describes NpTcOs after structural relaxation. The functional is GGA-PBE.

Cell lengths 4.4128, 2.7455, 8.3547 Å; angles 90.00, 90.00, 90.00 degrees
Closest atoms and distances in Å follow each position.
Fractional coordinates of all 6 atoms:
Tc1 0.5000 0.0000 0.7311  4 Os 2.67-2.71, 2 Np 2.74, 2 Tc 2.75
Tc2 0.0000 0.5000 0.2689  4 Os 2.67-2.71, 2 Np 2.74, 2 Tc 2.75
Os1 0.0000 0.0000 0.5430  4 Tc 2.67-2.71, 6 Os 2.70-2.75
Os2 0.5000 0.5000 0.4570  4 Tc 2.67-2.71, 6 Os 2.70-2.75
Np1 0.5000 0.5000 0.0753  2 Tc 2.74, 6 Np 2.75-2.89
Np2 0.0000 0.0000 0.9247  2 Tc 2.74, 6 Np 2.75-2.89

DFT formation energy, meV/atom: 419
Volume, Å³/cell: 101
Energy above the most stable polymorph in this dataset, eV/atom: 0.2109


(6)
This record from Alexandria via LeMat-Bulk describes SrLaNi2 after structural relaxation. The functional is GGA-PBE.

Cell lengths 7.6151, 7.6151, 6.4081 Å; angles 53.55, 53.55, 90.00 degrees
Closest atoms and distances in Å follow each position.
Fractional coordinates of all 8 atoms:
Sr1 0.5000 0.5000 0.0000  4 Ni 2.99
Sr2 0.2500 0.7500 0.5000  4 Ni 2.99
Ni1 0.6554 0.1250 0.2500  2 La 2.68, 2 Sr 2.99
Ni2 0.0946 0.6250 0.2500  2 La 2.68, 2 Sr 2.99
Ni3 0.3750 0.3446 0.7500  2 La 2.68, 2 Sr 2.99
Ni4 0.8750 0.9054 0.7500  2 La 2.68, 2 Sr 2.99
La1 0.0000 0.0000 0.0000  4 Ni 2.68
La2 0.7500 0.2500 0.5000  4 Ni 2.68

DFT formation energy, meV/atom: 192
Volume, Å³/cell: 201
Energy above the most stable polymorph in this dataset, eV/atom: 0.3601


(7)
This record from Alexandria via LeMat-Bulk describes MnTlCr2Cl8 after structural relaxation. The functional is GGA-PBE.

Cell lengths 6.0956, 5.9207, 9.5128 Å; angles 95.63, 93.76, 83.19 degrees
Closest atoms and distances in Å follow each position.
Fractional coordinates of all 12 atoms:
Mn1 0.0000 0.0000 0.0000  4 Cl 2.45-2.47
Tl1 0.0000 0.0000 0.5000  6 Cl 3.12-3.42
Cr1 0.4784 0.4664 0.8201  5 Cl 2.27-2.43
Cr2 0.5216 0.5336 0.1799  5 Cl 2.27-2.43
Cl1 0.1903 0.7882 0.1898  1 Cr 2.37, 1 Mn 2.45
Cl2 0.6642 0.7161 0.9926  2 Cr 2.42-2.43
Cl3 0.8260 0.2462 0.1960  1 Cr 2.37, 1 Mn 2.47
Cl4 0.8097 0.2118 0.8102  1 Cr 2.37, 1 Mn 2.45
Cl5 0.3358 0.2839 0.0074  2 Cr 2.42-2.43
Cl6 0.1740 0.7538 0.8040  1 Cr 2.37, 1 Mn 2.47
Cl7 0.6282 0.6929 0.3965  1 Cr 2.27
Cl8 0.3718 0.3071 0.6035  1 Cr 2.27

Energy relative to the elements, uncorrected, eV per atom: -0.966
Volume, Å³/cell: 339


(8)
This record from Alexandria via LeMat-Bulk describes Ba3CoRu after structural relaxation. The functional is GGA-PBE.

Cell lengths 5.6251, 5.6251, 5.6251 Å; angles 90.00, 90.00, 90.00 degrees
Closest atoms and distances in Å follow each position.
Fractional coordinates of all 5 atoms:
Ru1 0.5000 0.5000 0.5000  12 Ba 3.98
Co1 0.0000 0.0000 0.0000  6 Ba 2.81
Ba1 0.0000 0.5000 0.0000  2 Co 2.81
Ba2 0.0000 0.0000 0.5000  2 Co 2.81
Ba3 0.5000 0.0000 0.0000  2 Co 2.81

DFT formation energy, meV/atom: 881
Volume, Å³/cell: 178


(9)
This record from Alexandria via LeMat-Bulk describes UAsO2 after structural relaxation. The functional is GGA-PBE.

Cell lengths 4.8868, 4.8868, 4.3760 Å; angles 56.06, 56.06, 60.00 degrees
Closest atoms and distances in Å follow each position.
Fractional coordinates of all 4 atoms:
As1 0.5000 0.5000 0.5000  8 O 2.83-3.16
U1 0.0000 0.0000 0.0000  2 O 1.86
O1 0.1855 0.1855 0.4434  1 U 1.86
O2 0.8145 0.8145 0.5566  1 U 1.86

Energy relative to the elements, uncorrected, eV per atom: -1.308
Volume, Å³/cell: 69


(10)
This record from Alexandria via LeMat-Bulk describes TiPd4Pt3 after structural relaxation. The functional is GGA-PBE.

Cell lengths 2.8447, 4.2978, 15.4997 Å; angles 134.45, 95.27, 90.00 degrees
Closest atoms and distances in Å follow each position.
Fractional coordinates of all 8 atoms:
Ti1 0.5000 0.0000 0.0000  4 Pd 2.51, 4 Pt 2.58
Pd1 0.7131 0.0673 0.4262  5 Pt 2.69-2.79, 4 Pd 2.84-2.97
Pd2 0.2869 0.9327 0.5738  5 Pt 2.69-2.79, 4 Pd 2.84-2.97
Pd3 0.0945 0.4686 0.1889  2 Ti 2.51, 2 Pt 2.64
Pd4 0.9055 0.5314 0.8111  2 Ti 2.51, 2 Pt 2.64
Pt1 0.0000 0.5000 0.0000  4 Ti 2.58, 2 Pt 2.84
Pt2 0.1644 0.3219 0.3287  7 Pd 2.64-2.79, 2 Pt 2.84
Pt3 0.8356 0.6781 0.6713  7 Pd 2.64-2.79, 2 Pt 2.84

DFT formation energy, meV/atom: -52
Volume, Å³/cell: 134
Energy above the most stable polymorph in this dataset, eV/atom: 0.1903


(11)
This record from Alexandria via LeMat-Bulk describes KIr3Pd after structural relaxation. The functional is GGA-PBE.

Cell lengths 4.6674, 4.6674, 4.6674 Å; angles 90.00, 90.00, 90.00 degrees
Closest atoms and distances in Å follow each position.
Fractional coordinates of all 5 atoms:
K1 0.0000 0.0000 0.0000  6 Ir 2.33
Ir1 0.0000 0.5000 0.0000  2 K 2.33
Ir2 0.0000 0.0000 0.5000  2 K 2.33
Ir3 0.5000 0.0000 0.0000  2 K 2.33
Pd1 0.5000 0.5000 0.5000  12 Ir 3.30

DFT formation energy, meV/atom: 3154
Volume, Å³/cell: 102
Energy above the most stable polymorph in this dataset, eV/atom: 1.3796


(12)
This record from Alexandria via LeMat-Bulk describes CsBaSeCl after structural relaxation. The functional is GGA-PBE.

Cell lengths 4.7610, 4.7609, 8.8925 Å; angles 90.00, 105.53, 119.99 degrees
Closest atoms and distances in Å follow each position.
Fractional coordinates of all 4 atoms:
Cs1 0.4798 0.1379 0.6329  3 Se 3.60, 3 Cl 3.77
Ba1 0.1257 0.9608 0.1018  3 Se 3.20, 3 Cl 3.35
Se1 0.3292 0.5625 0.9070  3 Ba 3.20
Cl1 0.9431 0.3695 0.3278  3 Ba 3.35

Energy relative to the elements, uncorrected, eV per atom: -1.908
Volume, Å³/cell: 166


What is the volume in the fourth record? 56 Å³/cell